Record 1
Density functional theory data (PBEsol) for CrSb2Au after structural relaxation.

Cell and atoms, written as POSCAR:
```
CrSb2Au
1.0
-1.7407 0.2071 3.8389
-4.1477 -1.1154 -1.8205
3.7676 -3.5716 -0.4186
Au Cr Sb
1 1 2
Direct
0.5000 0.0000 0.0000 Au
0.0000 0.5000 0.0000 Cr
0.7498 0.7498 0.4997 Sb
0.2502 0.2502 0.5003 Sb
```

Properties
V (Å³/atom): 20.4
E_form (uncorrected) (meV/atom): 329

---

Record 2
Density functional theory data (PBEsol) for Ba3RhPb after structural relaxation.

Cell and atoms, written as POSCAR:
```
Ba3RhPb
1.0
6.4481 0.0000 0.0000
0.0000 6.4481 0.0000
0.0000 0.0000 6.4481
Pb Rh Ba
1 1 3
Direct
0.0000 0.0000 0.0000 Pb
0.5000 0.5000 0.5000 Rh
0.0000 0.5000 0.0000 Ba
0.0000 0.0000 0.5000 Ba
0.5000 0.0000 0.0000 Ba
```

Properties
V (Å³/atom): 53.6
Total energy (eV/atom): -3.05

---

Q: V of number 2 (Ba3RhPb)?
A: 53.6 Å³/atom

---

Q: Number 2 is which compound?
A: Ba3RhPb

---

Please write out number 1 again, unchanged.
Density functional theory data (PBEsol) for CrSb2Au after structural relaxation.

Cell and atoms, written as POSCAR:
```
CrSb2Au
1.0
-1.7407 0.2071 3.8389
-4.1477 -1.1154 -1.8205
3.7676 -3.5716 -0.4186
Au Cr Sb
1 1 2
Direct
0.5000 0.0000 0.0000 Au
0.0000 0.5000 0.0000 Cr
0.7498 0.7498 0.4997 Sb
0.2502 0.2502 0.5003 Sb
```

Properties
V (Å³/atom): 20.4
E_form (uncorrected) (meV/atom): 329